Entry 1:
# AlTcMoRu | the Alexandria database | GGA-PBE | optimized geometry
data_AlTcMoRu
_chemical_formula_sum 'Al1 Tc1 Mo1 Ru1'
_cell_length_a 4.3470
_cell_length_b 4.3470
_cell_length_c 4.3470
_cell_angle_alpha 60.00
_cell_angle_beta 60.00
_cell_angle_gamma 60.00
_space_group_name_H-M_alt 'P 1'
_space_group_IT_number 1
loop_
_space_group_symop_operation_xyz
'x,y,z'
loop_
_atom_site_label
_atom_site_fract_x
_atom_site_fract_y
_atom_site_fract_z
Ru1 0.0000 0.0000 0.0000
Mo1 0.2500 0.2500 0.2500
Tc1 0.5000 0.5000 0.5000
Al1 0.7500 0.7500 0.7500
# Calculated total energy = -0.326 Ha/atom

***

Entry 2:
# Cs2TaAsO6 | the Alexandria database | GGA-PBE | optimized geometry
data_Cs2TaAsO6
_chemical_formula_sum 'Cs2 Ta1 As1 O6'
_cell_length_a 5.4279
_cell_length_b 5.4279
_cell_length_c 7.2184
_cell_angle_alpha 67.91
_cell_angle_beta 67.91
_cell_angle_gamma 90.00
_space_group_name_H-M_alt 'P 1'
_space_group_IT_number 1
loop_
_space_group_symop_operation_xyz
'x,y,z'
loop_
_atom_site_label
_atom_site_fract_x
_atom_site_fract_y
_atom_site_fract_z
Cs1 0.7500 0.2500 0.5000
Cs2 0.2500 0.7500 0.5000
Ta1 0.0000 0.0000 0.0000
As1 0.5000 0.5000 0.0000
O1 0.1556 0.1556 0.6887
O2 0.7296 0.7295 0.0000
O3 0.2705 0.7296 0.0000
O4 0.7295 0.2704 0.0000
O5 0.2704 0.2705 0.0000
O6 0.8444 0.8444 0.3113
# Formation energy without anion corrections = -1611 kJ/mol of formula units
# Calculated total energy = -0.238 Ha/atom

***

Entry 3:
# PuNbAu | the Alexandria database | GGA-PBE | optimized geometry
data_PuNbAu
_chemical_formula_sum 'Pu2 Nb2 Au2'
_cell_length_a 2.9147
_cell_length_b 8.6681
_cell_length_c 7.5758
_cell_angle_alpha 137.78
_cell_angle_beta 101.09
_cell_angle_gamma 90.00
_space_group_name_H-M_alt 'P 1'
_space_group_IT_number 1
loop_
_space_group_symop_operation_xyz
'x,y,z'
loop_
_atom_site_label
_atom_site_fract_x
_atom_site_fract_y
_atom_site_fract_z
Au1 0.6404 0.9499 0.2808
Au2 0.3596 0.0501 0.7192
Pu1 0.1172 0.2570 0.2345
Pu2 0.8828 0.7430 0.7655
Nb1 0.6257 0.6015 0.2513
Nb2 0.3743 0.3985 0.7487
# Offset from the most stable computed form = 168 meV per atom
# Calculated total energy = -0.334 Ha/atom

***

Entry 4:
# InHgTe2 | the Alexandria database | GGA-PBE | optimized geometry
data_InHgTe2
_chemical_formula_sum 'In1 Hg1 Te2'
_cell_length_a 7.6120
_cell_length_b 7.6120
_cell_length_c 7.6120
_cell_angle_alpha 33.97
_cell_angle_beta 33.97
_cell_angle_gamma 33.97
_space_group_name_H-M_alt 'P 1'
_space_group_IT_number 1
loop_
_space_group_symop_operation_xyz
'x,y,z'
loop_
_atom_site_label
_atom_site_fract_x
_atom_site_fract_y
_atom_site_fract_z
Hg1 0.5039 0.5039 0.5039
In1 0.7496 0.7496 0.7496
Te1 0.0112 0.0112 0.0112
Te2 0.2353 0.2353 0.2353
# Formation energy without anion corrections = -11 kJ/mol of formula units
# Calculated total energy = -0.087 Ha/atom